Record 1
DFT (PBE-GGA) results for a relaxed structure of AcMgCd2Hg5. Values from VASP.

Its space group is Immm, No. 71. Its total energy is -1.072 eV per atom. Its energy of formation from the pure elements is -0.068 eV per atom.

```
&SYSTEM
  ibrav = 0, nat = 9, ntyp = 4
/
ATOMIC_SPECIES
Ac 227.00 Ac.upf
Mg 24.30 Mg.upf
Cd 112.41 Cd.upf
Hg 200.59 Hg.upf
CELL_PARAMETERS angstrom
-2.581 3.301 7.555
2.581 -3.301 7.555
2.581 3.301 -7.555
ATOMIC_POSITIONS crystal
Ac 0.000 0.000 0.000
Mg 0.500 0.500 0.000
Cd 0.311 0.811 0.500
Cd 0.689 0.189 0.500
Hg 0.084 0.355 0.729
Hg 0.374 0.645 0.729
Hg 0.500 0.000 0.500
Hg 0.626 0.355 0.271
Hg 0.916 0.645 0.271
```

=====

Record 2
DFT (PBE-GGA) results for a relaxed structure of Ac4Cd2HgN2. Values from VASP.

Its space group is C2/m, No. 12. Its total energy is -4.553 eV per atom.

```
&SYSTEM
  ibrav = 0, nat = 9, ntyp = 4
/
ATOMIC_SPECIES
Ac 227.00 Ac.upf
Cd 112.41 Cd.upf
Hg 200.59 Hg.upf
N 14.01 N.upf
CELL_PARAMETERS angstrom
9.703 -2.073 0.000
9.703 2.073 0.000
-3.136 0.000 7.202
ATOMIC_POSITIONS crystal
Ac 0.061 0.061 0.361
Ac 0.277 0.277 0.724
Ac 0.723 0.723 0.276
Ac 0.939 0.939 0.639
Cd 0.394 0.394 0.231
Cd 0.606 0.606 0.769
Hg 0.500 0.500 0.000
N 0.185 0.185 0.393
N 0.815 0.815 0.607
```

=====

Record 3
DFT (PBE-GGA) results for a relaxed structure of Ac7CdHg2N2. Values from VASP.

Its space group is C2/m, No. 12. Its total energy is -4.478 eV per atom.

```
&SYSTEM
  ibrav = 0, nat = 12, ntyp = 4
/
ATOMIC_SPECIES
Ac 227.00 Ac.upf
Cd 112.41 Cd.upf
Hg 200.59 Hg.upf
N 14.01 N.upf
CELL_PARAMETERS angstrom
3.830 -3.831 0.000
3.830 3.831 0.000
-3.795 0.000 13.123
ATOMIC_POSITIONS crystal
Ac 0.000 0.000 0.000
Ac 0.098 0.598 0.196
Ac 0.201 0.201 0.404
Ac 0.402 0.902 0.804
Ac 0.598 0.098 0.196
Ac 0.799 0.799 0.596
Ac 0.902 0.402 0.804
Cd 0.500 0.500 0.000
Hg 0.328 0.328 0.652
Hg 0.672 0.672 0.348
N 0.103 0.103 0.208
N 0.897 0.897 0.792
```